VASP calculation (PBE-GGA) on K3Pa2TaAs6 after structural relaxation.

Calculated values
Formation energy from the elements (eV per atom): -0.6524

```
data_K3Pa2TaAs6
_symmetry_space_group_name_H-M 'C 1 2/m 1'
_symmetry_Int_Tables_number 12
_symmetry_space_group_name_Hall '-C 2y'
_cell_length_a 7.116
_cell_length_b 12.326
_cell_length_c 8.103
_cell_angle_alpha 90.00
_cell_angle_beta 107.07
_cell_angle_gamma 90.00
loop_
_atom_site_label
_atom_site_type_symbol
_atom_site_fract_x
_atom_site_fract_y
_atom_site_fract_z
_atom_site_occupancy
K1 K 0.000 0.000 0.000 1
K2 K 0.000 0.330 0.000 1
Pa1 Pa 0.000 0.166 0.500 1
Ta1 Ta 0.000 0.500 0.500 1
As1 As 0.221 0.342 0.690 1
As2 As 0.249 0.000 0.691 1
```